A relaxed SbO2 crystal. Source: the Alexandria database, functional PBE.

Summary:
Total magnetic moment: 0.0 μB per cell
ΔE_f (raw): -1.3724 eV per atom

CIF file:
```
data_SbO2
_chemical_formula_sum 'Sb8 O16'
_symmetry_space_group_name_H-M 'P n a 21'
_symmetry_Int_Tables_number 33
_cell_length_a 5.550
_cell_length_b 4.906
_cell_length_c 11.936
_cell_angle_alpha 90.00
_cell_angle_beta 90.00
_cell_angle_gamma 90.00
loop_
_symmetry_equiv_pos_as_xyz
'x,y,z'
'-x,-y,z+1/2'
'-x+1/2,y+1/2,z+1/2'
'x+1/2,-y+1/2,z'
loop_
_atom_site_label
_atom_site_type_symbol
_atom_site_fract_x
_atom_site_fract_y
_atom_site_fract_z
_atom_site_occupancy
Sb1 Sb 0.019 0.037 0.000 1
Sb2 Sb 0.133 0.501 0.751 1
O1 O 0.080 0.795 0.192 1
O2 O 0.144 0.289 0.311 1
O3 O 0.156 0.666 0.594 1
O4 O 0.182 0.339 0.906 1
```